# 1
This record from the Alexandria database describes a relaxed structure of AcCeGe2. The functional is GGA-PBE.

Cell: 4.2011 6.1889 8.4754 Å, 90.00 90.00 90.00°
Space group Pmc2_1 (No. 26)
Unique sites:
1 Ac 0.0000 0.1245 0.0000 (multiplicity 2)
2 Ce 0.5000 0.3686 0.6364 (multiplicity 2)
3 Ge 0.0000 0.4000 0.3573 (multiplicity 2)
4 Ge 0.5000 0.1411 0.2855 (multiplicity 2)

Output
Total magnetization   0.2779 μB/atom
E   -5.483 eV per atom
N(E_F)   16.49 states/eV per cell

# 2
This record from the Alexandria database describes a relaxed structure of AcCe2Ge6. The functional is GGA-PBE.

Cell: 4.1270 8.5099 12.9263 Å, 90.00 90.00 90.00°
Space group Immm (No. 71)
Unique sites:
1 Ac 0.0000 0.0000 0.0000 (multiplicity 2)
2 Ce 0.0000 0.5000 0.1280 (multiplicity 4)
3 Ge 0.0000 0.1982 0.5000 (multiplicity 4)
4 Ge 0.0000 0.2774 0.3092 (multiplicity 8)

Output
Total magnetization   0.0793 μB/atom
Energy relative to the lowest polymorph listed for this composition   0.109 eV per atom
N(E_F)   19.72 states/eV per cell

# 3
This record from the Alexandria database describes a relaxed structure of AcCeGe2. The functional is GGA-PBE.

Cell: 4.4072 4.4072 21.7761 Å, 90.00 90.00 120.00°
Space group R3m (No. 160, hexagonal axes)
Unique sites:
1 Ac 0.0000 0.0000 0.0000 (multiplicity 3)
2 Ce 0.0000 0.0000 0.8295 (multiplicity 3)
3 Ge 0.0000 0.0000 0.2368 (multiplicity 3)
4 Ge 0.0000 0.0000 0.4232 (multiplicity 3)

Output
Total magnetization   0.0003 μB/atom
E   -5.312 eV per atom
N(E_F)   24.77 states/eV per cell

# 4
This record from the Alexandria database describes a relaxed structure of AcCeGe. The functional is GGA-PBE.

Cell: 5.5579 5.5423 11.5570 Å, 90.00 92.23 90.00°
Space group C2/m (No. 12)
Unique sites:
1 Ac 0.2392 0.0000 0.3606 (multiplicity 4)
2 Ce 0.2179 0.0000 0.0708 (multiplicity 4)
3 Ge 0.2222 0.5000 0.1926 (multiplicity 4)

Output
Total magnetization   0.1119 μB/atom
Energy relative to the lowest polymorph listed for this composition   0.114 eV per atom
N(E_F)   21.41 states/eV per cell

# 5
This record from the Alexandria database describes a relaxed structure of AcCe4Ge4. The functional is GGA-PBE.

Cell: 9.6101 9.6101 5.9748 Å, 90.00 90.00 90.00°
Space group P4_2/n (No. 86, origin choice 2)
Unique sites:
1 Ac 0.2500 0.2500 0.2500 (multiplicity 2)
2 Ce 0.0959 0.6423 0.1284 (multiplicity 8)
3 Ge 0.0442 0.6004 0.6338 (multiplicity 8)

Output
Total magnetization   0.5272 μB/atom
E   -5.561 eV per atom
N(E_F)   51.22 states/eV per cell

# 6
This record from the Alexandria database describes a relaxed structure of AcCeGe. The functional is GGA-PBE.

Cell: 7.3420 7.3420 7.3420 Å, 90.00 90.00 90.00°
Space group F-43m (No. 216)
Unique sites:
1 Ac 0.0000 0.0000 0.0000 (multiplicity 4)
2 Ce 0.0000 0.0000 0.5000 (multiplicity 4)
3 Ge 0.2500 0.2500 0.2500 (multiplicity 4)

Output
Total magnetization   0.4026 μB/atom
Energy relative to the lowest polymorph listed for this composition   0.237 eV per atom
N(E_F)   38.47 states/eV per cell

# 7
This record from the Alexandria database describes a relaxed structure of AcCeGe2. The functional is GGA-PBE.

Cell: 3.5630 3.5630 8.2854 Å, 90.00 90.00 90.00°
Space group P4/mmm (No. 123)
Unique sites:
1 Ac 0.0000 0.0000 0.0000 (multiplicity 1)
2 Ce 0.0000 0.0000 0.5000 (multiplicity 1)
3 Ge 0.5000 0.5000 0.2639 (multiplicity 2)

Output
Total magnetization   0.1727 μB/atom
E   -5.371 eV per atom
N(E_F)   6.67 states/eV per cell

# 8
This record from the Alexandria database describes a relaxed structure of Ac3CeGe7. The functional is GGA-PBE.

Cell: 4.5298 21.0390 12.2107 Å, 90.00 90.00 90.00°
Space group Cmcm (No. 63)
Unique sites:
1 Ac 0.0000 0.1078 0.0515 (multiplicity 8)
2 Ac 0.0000 0.2424 0.7500 (multiplicity 4)
3 Ce 0.0000 0.0464 0.7500 (multiplicity 4)
4 Ge 0.0000 0.2620 0.0457 (multiplicity 8)
5 Ge 0.0000 0.3685 0.1432 (multiplicity 8)
6 Ge 0.0000 0.4018 0.7500 (multiplicity 4)
7 Ge 0.0000 0.4971 0.1078 (multiplicity 8)

Output
Total magnetization   0.0324 μB/atom
E   -5.204 eV per atom
N(E_F)   29.08 states/eV per cell

- Among the records above, which one has the highest N(E_F)?
  AcCe4Ge4